A relaxed structure of Rb2NbCu2Te4, computed with PBE-GGA.

Output
Energy relative to the elements, uncorrected, meV per atom: -487
Magnetization, μB/atom: 0.121
SG: No. 12

Unit cell a=4.2393 b=8.5735 c=8.0689 alpha=107.69 beta=105.23 gamma=90.00
With the nearest neighbours (Å) after each atom.
Sites, in units of the cell vectors:
Te1 0.5199 0.7863 0.0399  1 Cu 2.66, 2 Nb 2.88
Rb1 0.1333 0.5641 0.2666  7 Te 3.62-3.83, 1 Rb 3.94, 1 Cu 3.95
Te2 0.8083 0.8244 0.6165  3 Cu 2.65-2.66, 1 Nb 2.89
Cu1 0.6894 0.9893 0.3787  4 Te 2.65-2.66, 2 Cu 2.81
Nb1 0.0000 0.0000 0.0000  6 Te 2.88-2.89
Te3 0.1917 0.1756 0.3835  3 Cu 2.65-2.66, 1 Nb 2.89
Cu2 0.3106 0.0107 0.6213  4 Te 2.65-2.66, 2 Cu 2.81
Rb2 0.8667 0.4359 0.7334  7 Te 3.62-3.83, 1 Rb 3.94, 1 Cu 3.95
Te4 0.4801 0.2137 0.9601  1 Cu 2.66, 2 Nb 2.88